Y4Ga16Ni3 | GGA-PBE | optimized geometry

Geometry as extended XYZ:
```
23
Lattice="6.104 0.000 0.000 0.000 6.104 0.000 0.000 0.000 11.014" Properties=species:S:1:pos:R:3 pbc="T T T"
Ni 0.000 0.000 0.000
Ni 0.000 3.052 5.507
Y 3.052 0.000 2.123
Ga 4.552 4.552 6.811
Ga 4.552 1.551 6.811
Ga 1.551 4.552 4.202
Ga 0.000 0.000 2.483
Ga 3.052 3.052 8.818
Ga 4.380 4.380 0.000
Y 3.052 0.000 8.890
Ga 4.552 4.552 4.202
Y 0.000 3.052 2.123
Ga 4.380 1.724 0.000
Ga 0.000 0.000 8.531
Ga 3.052 3.052 2.196
Ga 4.552 1.551 4.202
Ga 1.551 4.552 6.811
Ni 3.052 0.000 5.507
Y 0.000 3.052 8.890
Ga 1.724 1.724 0.000
Ga 1.551 1.551 4.202
Ga 1.551 1.551 6.811
Ga 1.724 4.380 0.000
```

## Properties
The density of states at the Fermi level is 6.8 states/eV/f.u. As for the density: 6.666 g/cm³. The uncorrected energy is -4.50 eV per atom.



In2SiPt | GGA-PBE | optimized geometry

Geometry as extended XYZ:
```
4
Lattice="4.818 0.000 0.000 2.409 4.173 0.000 2.409 1.391 3.934" Properties=species:S:1:pos:R:3 pbc="T T T"
In 0.000 0.000 0.000
Pt 4.818 2.782 1.967
In 2.409 1.391 0.984
Si 7.227 4.173 2.951
```

## Properties
The density of states at the Fermi level is 2.8 states/eV/f.u. As for the density: 9.506 g/cm³. The value obtained for the uncorrected formation energy is 206.2 meV/atom. The uncorrected energy is -4.03 eV per atom.



AcPr3SmDy | GGA-PBE | optimized geometry

Geometry as extended XYZ:
```
12
Lattice="5.940 0.000 0.000 -2.970 10.353 1.627 0.000 -1.279 7.014" Properties=species:S:1:pos:R:3 pbc="T T T"
Sm 2.970 8.266 6.454
Dy 2.970 2.315 3.898
Dy 0.000 6.759 4.744
Pr 2.970 -0.619 5.271
Pr 0.000 4.176 2.651
Ac 2.970 3.023 0.714
Ac 0.000 6.051 7.927
Sm 0.000 0.808 2.187
Pr 0.000 9.693 3.371
Pr 0.000 2.352 5.744
Pr 2.970 6.723 2.897
Pr 2.970 4.899 5.991
```

## Properties
The density of states at the Fermi level is 8.8 states/eV/f.u. As for the density: 7.205 g/cm³. The uncorrected energy is -4.44 eV per atom.



Tl4HgH4 | GGA-PBE | optimized geometry

Geometry as extended XYZ:
```
18
Lattice="5.234 0.000 0.000 0.000 8.444 0.000 0.000 0.000 8.444" Properties=species:S:1:pos:R:3 pbc="T T T"
Tl 4.957 4.926 1.744
Hg 2.617 4.222 4.222
H 0.761 7.905 3.083
Tl 2.894 7.740 2.478
H 1.856 3.683 7.305
H 3.378 7.305 4.760
Tl 4.957 3.518 6.700
H 4.473 3.083 0.538
Hg 0.000 0.000 0.000
Tl 2.340 2.478 0.704
H 1.856 4.760 1.139
Tl 0.277 1.744 3.518
Tl 0.277 6.700 4.926
H 4.473 5.360 7.905
Tl 2.894 0.704 5.966
H 3.378 1.139 3.683
H 0.761 0.538 5.360
Tl 2.340 5.966 7.740
```

## Properties
As for the density: 9.097 g/cm³. The uncorrected energy is -2.28 eV per atom.



Nd2TmGa3Pd4 | GGA-PBE | optimized geometry

Geometry as extended XYZ:
```
10
Lattice="4.277 0.000 0.000 0.000 4.277 0.000 0.000 0.000 11.308" Properties=species:S:1:pos:R:3 pbc="T T T"
Nd 0.000 2.139 8.729
Pd 2.139 2.139 0.000
Pd 0.000 2.139 3.904
Pd 2.139 0.000 7.404
Nd 2.139 0.000 2.579
Ga 0.000 2.139 1.383
Ga 2.139 0.000 9.925
Tm 2.139 2.139 5.654
Pd 0.000 0.000 0.000
Ga 0.000 0.000 5.654
```

## Properties
The density of states at the Fermi level is 8.3 states/eV/f.u. As for the density: 8.767 g/cm³. The uncorrected energy is -5.19 eV per atom.



LiCd2Au8 | GGA-PBE | optimized geometry

Geometry as extended XYZ:
```
11
Lattice="5.009 0.447 -0.516 -0.715 5.291 -2.353 1.335 0.363 7.644" Properties=species:S:1:pos:R:3 pbc="T T T"
Au 4.472 4.425 -2.284
Au 1.158 1.676 7.060
Au 1.212 1.055 2.003
Cd 4.728 2.448 4.069
Au 2.456 0.825 4.739
Li 2.505 0.224 -0.258
Au 4.418 5.047 2.772
Cd 0.902 3.653 0.706
Au 3.532 2.621 1.217
Au 3.174 5.276 0.036
Au 2.098 3.480 3.558
```

## Properties
The energy above the most stable polymorph in this dataset comes out at 0 meV/atom. The density of states at the Fermi level is 2.3 states/eV/f.u. As for the density: 14.178 g/cm³. The uncorrected energy is -2.91 eV per atom.